TcHgTe4 | the Alexandria database | GGA-PBE | optimized geometry; total moment = 0.852 μB/atom; calculated total energy = -2.962 eV/atom; crystal system = cubic; space group = No. 216; volume = 30.6 A^3/atom
1.0
0.0000 4.5104 4.5104
4.5104 0.0000 4.5104
4.5104 4.5104 0.0000
Tc Hg Te
1 1 4
direct
0.0000 0.0000 0.0000
0.2500 0.2500 0.2500
0.1236 0.6255 0.6255
0.6255 0.1236 0.6255
0.6255 0.6255 0.1236
0.6255 0.6255 0.6255


Th8Tc3HgTe4 | the Alexandria database | GGA-PBE | optimized geometry; total moment = 0.000 μB/atom; calculated total energy = -7.081 eV/atom; crystal system = trigonal; space group = No. 166; volume = 30.2 A^3/atom
1.0
4.2582 2.4585 7.6824
-4.2582 2.4585 7.6824
0.0000 -4.9170 7.6824
Th Tc Hg Te
8 3 1 4
direct
0.2111 0.7460 0.7460
0.2350 0.2350 0.2350
0.2540 0.2540 0.7889
0.2540 0.7889 0.2540
0.7460 0.2111 0.7460
0.7460 0.7460 0.2111
0.7650 0.7650 0.7650
0.7889 0.2540 0.2540
0.0000 0.0000 0.5000
0.0000 0.5000 0.0000
0.5000 0.0000 0.0000
0.5000 0.5000 0.5000
0.0000 0.0000 0.0000
0.0000 0.5000 0.5000
0.5000 0.0000 0.5000
0.5000 0.5000 0.0000


TcHgTe2W | the Alexandria database | GGA-PBE | optimized geometry; total moment = 0.791 μB/atom; calculated total energy = -4.477 eV/atom; crystal system = tetragonal; space group = No. 123; volume = 27.8 A^3/atom
1.0
5.1559 0.0000 0.0000
0.0000 5.1559 0.0000
0.0000 0.0000 5.2254
Tc Hg Te W
1 1 2 1
direct
0.0000 0.0000 0.0000
0.0000 0.0000 0.5000
0.0000 0.5000 0.0000
0.5000 0.0000 0.0000
0.5000 0.5000 0.5000


ZrTcHg2Te | the Alexandria database | GGA-PBE | optimized geometry; total moment = 0.859 μB/atom; calculated total energy = -3.450 eV/atom; crystal system = tetragonal; space group = No. 123; volume = 34.0 A^3/atom
1.0
5.5880 0.0000 0.0000
0.0000 5.5880 0.0000
0.0000 0.0000 5.4373
Zr Tc Hg Te
1 1 2 1
direct
0.0000 0.0000 0.0000
0.5000 0.5000 0.5000
0.0000 0.5000 0.0000
0.5000 0.0000 0.0000
0.0000 0.0000 0.5000


ThTcHg | the Alexandria database | GGA-PBE | optimized geometry; total moment = 0.000 μB/atom; calculated total energy = -5.803 eV/atom; energy above the lowest structure with this stoichiometry = 115 kJ/mol of formula units; crystal system = trigonal; calculated formation energy = 0.226 eV per atom; space group = No. 166; volume = 26.4 A^3/atom
1.0
2.3802 1.3742 8.0674
-2.3802 1.3742 8.0674
0.0000 -2.7484 8.0674
Th Tc Hg
2 2 2
direct
0.0834 0.0834 0.0834
0.9166 0.9166 0.9166
0.1812 0.1812 0.1812
0.8188 0.8188 0.8188
0.3196 0.3196 0.3196
0.6804 0.6804 0.6804


Th2TcHg | the Alexandria database | GGA-PBE | optimized geometry; total moment = 0.000 μB/atom; calculated total energy = -6.520 eV/atom; crystal system = trigonal; calculated formation energy = -0.143 eV per atom; space group = No. 160; volume = 28.8 A^3/atom
1.0
2.0991 1.2119 7.5518
-2.0991 1.2119 7.5518
0.0000 -2.4238 7.5518
Th Tc Hg
2 1 1
direct
0.0000 0.0000 0.0000
0.2040 0.2040 0.2040
0.6001 0.6001 0.6001
0.4358 0.4358 0.4358


Th4TcHg2 | the Alexandria database | GGA-PBE | optimized geometry; total moment = 0.000 μB/atom; calculated total energy = -5.973 eV/atom; energy above the lowest structure with this stoichiometry = 0 kJ/mol of formula units; crystal system = monoclinic; calculated formation energy = -0.166 eV per atom; space group = No. 12; volume = 28.7 A^3/atom
1.0
5.6643 -2.3815 0.0000
5.6643 2.3815 0.0000
-4.4404 0.0000 7.4352
Th Tc Hg
4 1 2
direct
0.0669 0.0669 0.3524
0.3285 0.3285 0.9449
0.6715 0.6715 0.0551
0.9331 0.9331 0.6476
0.0000 0.0000 0.0000
0.3477 0.3477 0.3397
0.6523 0.6523 0.6603


Th4TcHg | the Alexandria database | GGA-PBE | optimized geometry; total moment = 0.000 μB/atom; calculated total energy = -6.694 eV/atom; energy above the lowest structure with this stoichiometry = 121 kJ/mol of formula units; crystal system = monoclinic; calculated formation energy = 0.030 eV per atom; space group = No. 15; volume = 31.5 A^3/atom
1.0
4.4297 -7.4577 0.0000
4.4297 7.4577 0.0000
-3.4359 0.0000 5.7298
Th Tc Hg
8 2 2
direct
0.0492 0.6215 0.8445
0.1675 0.2795 0.7216
0.2795 0.1675 0.2216
0.3785 0.9508 0.6555
0.6215 0.0492 0.3445
0.7205 0.8325 0.7784
0.8325 0.7205 0.2784
0.9508 0.3785 0.1555
0.0814 0.9186 0.7500
0.9186 0.0814 0.2500
0.3966 0.6034 0.2500
0.6034 0.3966 0.7500


Th5Tc2Hg2 | the Alexandria database | GGA-PBE | optimized geometry; total moment = 0.000 μB/atom; calculated total energy = -6.709 eV/atom; crystal system = orthorhombic; calculated formation energy = -0.217 eV per atom; space group = No. 64; volume = 27.9 A^3/atom
1.0
8.0852 -3.9051 0.0000
8.0852 3.9051 0.0000
0.0000 0.0000 7.9391
Th Tc Hg
10 4 4
direct
0.0000 0.0000 0.0000
0.0459 0.7204 0.6631
0.2204 0.5459 0.1631
0.2796 0.9541 0.6631
0.4541 0.7796 0.1631
0.5000 0.5000 0.5000
0.5459 0.2204 0.8369
0.7204 0.0459 0.3369
0.7796 0.4541 0.8369
0.9541 0.2796 0.3369
0.1397 0.8603 0.3618
0.3603 0.6397 0.8618
0.6397 0.3603 0.1382
0.8603 0.1397 0.6382
0.2153 0.2153 0.0000
0.2847 0.2847 0.5000
0.7153 0.7153 0.5000
0.7847 0.7847 0.0000


Th5Tc2Hg | the Alexandria database | GGA-PBE | optimized geometry; total moment = 0.000 μB/atom; calculated total energy = -7.486 eV/atom; crystal system = tetragonal; calculated formation energy = -0.220 eV per atom; space group = No. 140; volume = 27.0 A^3/atom
1.0
-3.9803 3.9803 6.8070
3.9803 -3.9803 6.8070
3.9803 3.9803 -6.8070
Th Tc Hg
10 4 2
direct
0.0000 0.0000 0.0000
0.0208 0.5208 0.8146
0.2062 0.0208 0.5000
0.2938 0.7938 0.8146
0.4792 0.2938 0.5000
0.5000 0.5000 0.0000
0.5208 0.7062 0.5000
0.7062 0.2062 0.1854
0.7938 0.9792 0.5000
0.9792 0.4792 0.1854
0.1405 0.3595 0.5000
0.3595 0.8595 0.2190
0.6405 0.1405 0.7810
0.8595 0.6405 0.5000
0.2500 0.2500 0.0000
0.7500 0.7500 0.0000


Th4Tc2Hg3 | the Alexandria database | GGA-PBE | optimized geometry; total moment = 0.000 μB/atom; calculated total energy = -5.894 eV/atom; crystal system = monoclinic; calculated formation energy = -0.192 eV per atom; space group = No. 15; volume = 26.2 A^3/atom
1.0
8.5910 -4.2039 0.0000
8.5910 4.2039 0.0000
-0.5462 0.0000 6.5240
Th Tc Hg
8 4 6
direct
0.0145 0.7352 0.8757
0.2490 0.3609 0.5084
0.2648 0.9855 0.6243
0.3609 0.2490 0.0084
0.6391 0.7510 0.9916
0.7352 0.0145 0.3757
0.7510 0.6391 0.4916
0.9855 0.2648 0.1243
0.0203 0.4018 0.8008
0.4018 0.0203 0.3008
0.5982 0.9797 0.6992
0.9797 0.5982 0.1992
0.1523 0.7388 0.4080
0.2612 0.8477 0.0920
0.4500 0.5500 0.7500
0.5500 0.4500 0.2500
0.7388 0.1523 0.9080
0.8477 0.2612 0.5920


Th3TcHg2 | the Alexandria database | GGA-PBE | optimized geometry; total moment = 0.000 μB/atom; calculated total energy = -5.738 eV/atom; crystal system = triclinic; calculated formation energy = -0.199 eV per atom; space group = No. 2; volume = 27.3 A^3/atom
1.0
5.3332 0.0000 0.0000
-0.0024 7.1264 0.0000
-2.6659 -3.5516 8.6294
Th Tc Hg
6 2 4
direct
0.0008 0.2500 0.0000
0.3662 0.3646 0.7289
0.3660 0.8645 0.7286
0.6340 0.1355 0.2714
0.6338 0.6354 0.2711
0.9992 0.7500 0.0000
0.4991 0.7503 0.0000
0.5009 0.2497 0.0000
0.1942 0.4455 0.3909
0.1941 0.9456 0.3908
0.8059 0.0544 0.6092
0.8058 0.5545 0.6091


Th3Tc2Hg2 | the Alexandria database | GGA-PBE | optimized geometry; total moment = 0.000 μB/atom; calculated total energy = -6.377 eV/atom; crystal system = monoclinic; calculated formation energy = -0.150 eV per atom; space group = No. 12; volume = 25.7 A^3/atom
1.0
5.8850 -1.8961 0.0000
5.8850 1.8961 0.0000
-2.4913 0.0000 8.0504
Th Tc Hg
3 2 2
direct
0.0000 0.0000 0.0000
0.1904 0.1904 0.6743
0.8096 0.8096 0.3257
0.3174 0.3174 0.0778
0.6826 0.6826 0.9222
0.4561 0.4561 0.6562
0.5439 0.5439 0.3438


Th2TcHg | the Alexandria database | GGA-PBE | optimized geometry; total moment = 0.000 μB/atom; calculated total energy = -6.581 eV/atom; crystal system = tetragonal; calculated formation energy = -0.204 eV per atom; space group = No. 123; volume = 25.6 A^3/atom
1.0
3.4853 0.0000 0.0000
0.0000 3.4853 0.0000
0.0000 0.0000 8.4390
Th Tc Hg
2 1 1
direct
0.0000 0.0000 0.2120
0.0000 0.0000 0.7880
0.5000 0.5000 0.0000
0.5000 0.5000 0.5000


Th2TcHg | the Alexandria database | GGA-PBE | optimized geometry; total moment = 0.000 μB/atom; calculated total energy = -6.535 eV/atom; crystal system = trigonal; calculated formation energy = -0.158 eV per atom; space group = No. 166; volume = 28.6 A^3/atom
1.0
2.0412 1.1785 7.9210
-2.0412 1.1785 7.9210
0.0000 -2.3570 7.9210
Th Tc Hg
2 1 1
direct
0.2315 0.2315 0.2315
0.7685 0.7685 0.7685
0.5000 0.5000 0.5000
0.0000 0.0000 0.0000


Th12Tc6Hg | the Alexandria database | GGA-PBE | optimized geometry; total moment = 0.000 μB/atom; calculated total energy = -8.034 eV/atom; crystal system = cubic; calculated formation energy = -0.059 eV per atom; space group = No. 204; volume = 27.3 A^3/atom
1.0
-5.0638 5.0638 5.0638
5.0638 -5.0638 5.0638
5.0638 5.0638 -5.0638
Th Tc Hg
12 6 1
direct
0.1200 0.8153 0.3047
0.1847 0.3047 0.4894
0.1847 0.6953 0.8800
0.3047 0.1200 0.8153
0.3047 0.4894 0.1847
0.4894 0.1847 0.3047
0.5106 0.8153 0.6953
0.6953 0.5106 0.8153
0.6953 0.8800 0.1847
0.8153 0.3047 0.1200
0.8153 0.6953 0.5106
0.8800 0.1847 0.6953
0.1416 0.6416 0.5000
0.3584 0.5000 0.8584
0.5000 0.1416 0.6416
0.5000 0.8584 0.3584
0.6416 0.5000 0.1416
0.8584 0.3584 0.5000
0.0000 0.0000 0.0000


ThTcHg | the Alexandria database | GGA-PBE | optimized geometry; total moment = 0.000 μB/atom; calculated total energy = -6.200 eV/atom; energy above the lowest structure with this stoichiometry = 0 kJ/mol of formula units; crystal system = orthorhombic; calculated formation energy = -0.171 eV per atom; space group = No. 63; volume = 24.6 A^3/atom
1.0
2.0485 -8.6528 0.0000
2.0485 8.6528 0.0000
0.0000 0.0000 4.1552
Th Tc Hg
2 2 2
direct
0.0991 0.9009 0.7500
0.9009 0.0991 0.2500
0.4627 0.5373 0.7500
0.5373 0.4627 0.2500
0.2945 0.7055 0.7500
0.7055 0.2945 0.2500


Th6Tc2Hg | the Alexandria database | GGA-PBE | optimized geometry; total moment = 0.000 μB/atom; calculated total energy = -7.415 eV/atom; crystal system = orthorhombic; calculated formation energy = -0.131 eV per atom; space group = No. 71; volume = 27.8 A^3/atom
1.0
-4.7151 4.8176 5.5098
4.7151 -4.8176 5.5098
4.7151 4.8176 -5.5098
Th Tc Hg
12 4 2
direct
0.0372 0.2386 0.7986
0.1833 0.2960 0.4794
0.1833 0.7040 0.8873
0.3330 0.0268 0.6937
0.3330 0.6393 0.3063
0.4400 0.2386 0.2014
0.5600 0.7614 0.7986
0.6670 0.3607 0.6937
0.6670 0.9732 0.3063
0.8167 0.2960 0.1127
0.8167 0.7040 0.5206
0.9628 0.7614 0.2014
0.1369 0.6369 0.5000
0.3298 0.0000 0.3298
0.6702 0.0000 0.6702
0.8631 0.3631 0.5000
0.0000 0.0000 0.0000
0.5000 0.5000 0.0000


Th8Tc2Hg | the Alexandria database | GGA-PBE | optimized geometry; total moment = 0.000 μB/atom; calculated total energy = -7.316 eV/atom; crystal system = monoclinic; calculated formation energy = -0.008 eV per atom; space group = No. 12; volume = 29.3 A^3/atom
1.0
5.9904 -3.3826 0.0000
5.9904 3.3826 0.0000
-3.6393 0.0000 7.9482
Th Tc Hg
8 2 1
direct
0.1887 0.1887 0.5812
0.2342 0.7625 0.7959
0.2375 0.7658 0.2041
0.2448 0.2448 0.1527
0.7552 0.7552 0.8473
0.7625 0.2342 0.7959
0.7658 0.2375 0.2041
0.8113 0.8113 0.4188
0.3515 0.3515 0.9125
0.6485 0.6485 0.0875
0.5000 0.5000 0.5000


Th4TcHg | the Alexandria database | GGA-PBE | optimized geometry; total moment = 0.000 μB/atom; calculated total energy = -6.904 eV/atom; energy above the lowest structure with this stoichiometry = 0 kJ/mol of formula units; crystal system = tetragonal; calculated formation energy = -0.179 eV per atom; space group = No. 124; volume = 28.1 A^3/atom
1.0
7.3870 0.0000 0.0000
0.0000 7.3870 0.0000
0.0000 0.0000 6.1848
Th Tc Hg
8 2 2
direct
0.1430 0.3193 0.0000
0.1430 0.6807 0.5000
0.3193 0.1430 0.5000
0.3193 0.8570 0.0000
0.6807 0.1430 0.0000
0.6807 0.8570 0.5000
0.8570 0.3193 0.5000
0.8570 0.6807 0.0000
0.0000 0.0000 0.2500
0.0000 0.0000 0.7500
0.5000 0.5000 0.2500
0.5000 0.5000 0.7500